First-principles (PBE) data for Pu4TlBi3 after structural relaxation, as listed in Alexandria via LeMat-Bulk.

The structure belongs to space group Pmmm (No. 47); the cell edges are 4.342, 5.173 and 10.295 Å and the angles 90.00°, 90.00° and 90.00°. The distinct sites, in fractional coordinates, are Pu at (0.000, 0.000, 0.000), Pu at (0.000, 0.000, 0.500), Pu at (0.000, 0.500, 0.240), Tl at (0.500, 0.500, 0.500), Bi at (0.500, 0.000, 0.259) and Bi at (0.500, 0.500, 0.000).

The density of states at the Fermi level comes out at 41.5 states/eV/f.u. Its total energy is -9.1487 eV/atom. As for the magnetization: 12.04 μB/f.u. The calculation puts the formation energy at -232 meV per atom.